# Pm2Y3Ho2

A relaxed structure of Pm2Y3Ho2 (PBE-GGA, Alexandria via LeMat-Bulk).

Properties
space-group type: C2/m (12)

Cell: 3.507 8.761 8.552 Å, 115.57 101.83 90.00°
Atoms (fractional coordinates):
Y 0.221 0.649 0.442
Y 0.000 0.500 0.000
Pm 0.078 0.200 0.157
Y 0.779 0.351 0.558
Ho 0.638 0.908 0.276
Pm 0.922 0.800 0.843
Ho 0.362 0.092 0.724

# Pm5Y4Ho4

A relaxed structure of Pm5Y4Ho4 (PBE-GGA, Alexandria via LeMat-Bulk).

Properties
space-group type: I4/m (87)

Cell: 5.068 9.495 9.496 Å, 85.90 74.52 74.52°
Atoms (fractional coordinates):
Pm 0.693 0.847 0.768
Y 0.385 0.692 0.538
Pm 0.000 0.000 0.000
Ho 0.232 0.614 0.922
Ho 0.154 0.078 0.614
Y 0.923 0.462 0.692
Pm 0.460 0.232 0.847
Y 0.615 0.308 0.462
Y 0.077 0.538 0.308
Ho 0.846 0.922 0.386
Ho 0.768 0.386 0.078
Pm 0.307 0.153 0.232
Pm 0.540 0.768 0.153

# Pm2Y6Ho3

A relaxed structure of Pm2Y6Ho3 (PBE-GGA, Alexandria via LeMat-Bulk).

Properties
space-group type: I4/mmm (139)

Cell: 4.734 4.734 17.067 Å, 97.97 97.97 90.00°
Atoms (fractional coordinates):
Y 0.301 0.301 0.603
Ho 0.000 0.000 0.000
Y 0.122 0.622 0.243
Y 0.878 0.378 0.757
Y 0.622 0.122 0.243
Pm 0.455 0.455 0.909
Ho 0.199 0.199 0.398
Ho 0.801 0.801 0.602
Y 0.699 0.699 0.397
Y 0.378 0.878 0.757
Pm 0.545 0.545 0.091

# Pm3YHo7

A relaxed structure of Pm3YHo7 (PBE-GGA, Alexandria via LeMat-Bulk).

Properties
space-group type: Immm (71)

Cell: 5.827 8.424 8.424 Å, 83.25 110.22 110.22°
Atoms (fractional coordinates):
Y 0.500 0.500 0.500
Ho 0.000 0.500 0.500
Ho 0.292 0.987 0.597
Pm 0.000 0.787 0.213
Ho 0.292 0.597 0.987
Ho 0.708 0.013 0.403
Ho 0.708 0.403 0.013
Pm 0.500 0.000 0.000
Pm 0.000 0.213 0.787
Ho 0.795 0.795 0.795
Ho 0.205 0.205 0.205

# PmY2Ho

A relaxed structure of PmY2Ho (PBE-GGA, Alexandria via LeMat-Bulk).

Properties
space-group type: R-3m (166)

Cell: 3.582 3.582 11.835 Å, 81.30 81.30 60.00°
Atoms (fractional coordinates):
Pm 0.500 0.500 0.500
Y 0.251 0.251 0.247
Ho 0.000 0.000 0.000
Y 0.749 0.749 0.753

# PmYHo3

A relaxed structure of PmYHo3 (PBE-GGA, Alexandria via LeMat-Bulk).

Properties
space-group type: Cmcm (63)

Cell: 3.627 8.572 11.542 Å, 90.00 90.00 102.22°
Atoms (fractional coordinates):
Y 0.982 0.465 0.250
Pm 0.692 0.884 0.750
Y 0.018 0.535 0.750
Ho 0.352 0.205 0.750
Pm 0.308 0.116 0.250
Ho 0.845 0.190 0.999
Ho 0.155 0.810 0.001
Ho 0.845 0.190 0.501
Ho 0.155 0.810 0.499
Ho 0.648 0.795 0.250

For the records above, the corresponding DFT formation energy values read 132, 18, 286, 269, 20, 328 meV per atom.
For the records above, the corresponding DOS at the Fermi energy values read 12.0, 18.6, 17.3, 15.0, 5.9, 17.6 states/eV per cell.